Computed, not measured: La4Sb3O2 after structural relaxation at the PBE level of DFT.

Computed properties:
DFT total energy   -59.911 eV/cell
Formation energy (no corrections)   -1991 meV/atom
Space group   C2/m, No. 12

```
9
Lattice="-1.318 3.857 1.575 -4.425 -5.207 2.988 8.938 1.693 3.332" Properties=species:S:1:pos:R:3 pbc="T T T"
Sb 4.439 2.416 3.860
Sb -1.243 -2.073 4.035
Sb 0.000 0.000 0.000
La 4.637 -0.554 5.235
La 2.410 -0.084 2.222
La -1.442 0.897 2.660
La 0.785 0.427 5.673
O 2.522 -0.942 4.417
O 0.674 1.285 3.478
```



Computed, not measured: HfVOs2 after structural relaxation at the PBE level of DFT.

Computed properties:
Formation energy from the elements   -0.357 eV per atom
DFT total energy   -42.961 eV/cell
Space group   P4/mmm, No. 123

```
4
Lattice="-0.639 -0.441 -3.046 -4.270 -0.750 1.005 -0.868 4.342 -0.446" Properties=species:S:1:pos:R:3 pbc="T T T"
Os -2.135 -0.375 0.502
Os -0.434 2.171 -0.223
V -0.320 -0.220 -1.523
Hf -2.888 1.575 -1.244
```



Computed, not measured: CuTc2Ag after structural relaxation at the PBE level of DFT.

Computed properties:
Polymorph energy (0 for the lowest one)   0.97 kcal/mol of atoms
Formation energy from the elements   0.310 eV per atom
DFT total energy   -26.440 eV/cell
Space group   Cmm2, No. 35

```
4
Lattice="2.688 -0.009 0.000 -1.120 2.443 0.000 0.000 0.000 9.199" Properties=species:S:1:pos:R:3 pbc="T T T"
Cu 0.784 1.217 6.975
Tc 0.000 0.000 9.194
Tc 0.784 1.217 2.143
Ag 0.000 0.000 4.684
```



Computed, not measured: Er8GeS6 after structural relaxation at the PBE level of DFT.

Computed properties:
DFT total energy   -88.114 eV/cell
Formation energy (no corrections)   -1482 meV/atom
Space group   P-3, No. 147

```
15
Lattice="3.883 0.000 0.000 0.000 8.661 -5.000 0.000 0.000 10.001" Properties=species:S:1:pos:R:3 pbc="T T T"
Ge 1.942 0.000 0.000
Er 2.903 2.887 5.000
Er 2.895 8.373 -1.909
Er 0.980 5.774 0.000
Er 0.988 2.534 1.796
Er 2.895 2.822 -1.296
Er 0.988 0.288 6.909
Er 2.895 6.128 3.205
Er 0.988 5.839 6.297
S 0.967 4.482 3.930
S 2.916 4.179 1.071
S 2.916 7.499 0.846
S 0.967 3.017 6.917
S 0.967 1.162 4.154
S 2.916 5.645 -1.917
```



Computed, not measured: Ge3AsF after structural relaxation at the PBE level of DFT.

Computed properties:
Polymorph energy (0 for the lowest one)   8.67 kcal/mol of atoms
DFT total energy   -17.983 eV/cell
Formation energy (no corrections)   478 meV/atom
Space group   Pm-3m, No. 221

```
5
Lattice="5.097 0.000 0.000 0.000 5.097 0.000 0.000 0.000 5.097" Properties=species:S:1:pos:R:3 pbc="T T T"
Ge 0.000 0.000 2.548
Ge 0.000 2.548 0.000
Ge 2.548 0.000 0.000
As 0.000 0.000 0.000
F 2.548 2.548 2.548
```



Computed, not measured: Sc4Tc2Ge5 after structural relaxation at the PBE level of DFT.

Computed properties:
Formation energy from the elements   -0.637 eV per atom
DFT total energy   -152.301 eV/cell
Space group   Ibam, No. 72

```
22
Lattice="5.186 0.000 -1.420 -0.950 7.427 -3.470 -0.059 0.063 9.964" Properties=species:S:1:pos:R:3 pbc="T T T"
Ge 4.240 3.928 5.301
Ge 2.343 5.034 -1.625
Ge 3.118 7.385 1.206
Ge 1.297 0.000 -0.355
Ge 1.060 0.105 3.869
Ge 3.890 0.000 -1.065
Ge 1.835 2.455 6.699
Ge -0.062 3.562 -0.226
Ge 3.272 3.082 1.767
Ge 0.906 4.407 3.307
Sc -0.445 5.878 -1.625
Sc 3.303 0.286 1.880
Sc 0.875 7.204 3.194
Sc 4.623 1.612 6.700
Sc 3.678 5.559 3.252
Sc 2.585 2.461 -0.739
Sc 1.592 5.029 5.813
Sc 0.499 1.931 1.822
Tc 4.219 5.188 0.135
Tc 1.625 5.188 0.845
Tc 2.552 2.302 4.229
Tc -0.041 2.302 4.939
```



Total moment, respectively: 0.00; 0.36; 0.00; 0.00; 0.00; 0.00 μB per cell.